Material: La3AlTl2
Method: DFT, PBE
State: optimized geometry

abc: 3.881 3.881 12.050
angles: 90.00 90.00 90.00
Space group P4/mmm (No. 123)
Asymmetric unit:
La1 0.000 0.000 0.000
La2 0.000 0.000 0.346
Al1 0.500 0.500 0.500
Tl1 0.500 0.500 0.172

## Properties
For the formation enthalpy at 0 K, the calculation gives -399.5 meV per atom.